Density functional theory data (meta-GGA SCAN) for a crystal of CsBaCo3 relaxed with PBEsol.

- Crystal system: cubic
- DOS(E_F): 0.732 states/eV/atom
- Formation enthalpy at 0 K: 1993 meV/atom
- Calculated total energy: -23.861 eV/atom

Geometry as CIF:
```
data_CsBaCo3
_chemical_formula_sum 'Cs1 Ba1 Co3'
_symmetry_space_group_name_H-M 'P m -3 m'
_symmetry_Int_Tables_number 221
_symmetry_space_group_name_Hall '-P 4 2 3'
_cell_length_a 4.8462
_cell_length_b 4.8462
_cell_length_c 4.8462
_cell_angle_alpha 90.00
_cell_angle_beta 90.00
_cell_angle_gamma 90.00
loop_
_atom_site_label
_atom_site_fract_x
_atom_site_fract_y
_atom_site_fract_z
Cs1 0.0000 0.0000 0.0000
Ba1 0.5000 0.5000 0.5000
Co1 0.0000 0.0000 0.5000
```


Density functional theory data (meta-GGA SCAN) for a crystal of Cs2BaCoSi relaxed with PBEsol.

- Crystal system: tetragonal
- Raw formation energy: 275 kJ/mol of formula units
- DOS(E_F): 0.834 states/eV/atom
- Calculated total energy: -27.928 eV/atom

Geometry as CIF:
```
data_Cs2BaCoSi
_chemical_formula_sum 'Cs2 Ba1 Co1 Si1'
_symmetry_space_group_name_H-M 'P 4/m m m'
_symmetry_Int_Tables_number 123
_symmetry_space_group_name_Hall '-P 4 2'
_cell_length_a 6.9959
_cell_length_b 6.9959
_cell_length_c 4.3815
_cell_angle_alpha 90.00
_cell_angle_beta 90.00
_cell_angle_gamma 90.00
loop_
_atom_site_label
_atom_site_fract_x
_atom_site_fract_y
_atom_site_fract_z
Cs1 0.0000 0.5000 0.0000
Ba1 0.0000 0.0000 0.5000
Co1 0.5000 0.5000 0.5000
Si1 0.5000 0.5000 0.0000
```


Density functional theory data (meta-GGA SCAN) for a crystal of BaCo2Cu relaxed with PBEsol.

- Crystal system: tetragonal
- DOS(E_F): 0.773 states/eV/atom
- Formation enthalpy at 0 K: 677 meV/atom
- Calculated total energy: -21.663 eV/atom

Geometry as CIF:
```
data_BaCo2Cu
_chemical_formula_sum 'Ba1 Co2 Cu1'
_symmetry_space_group_name_H-M 'P 4/m m m'
_symmetry_Int_Tables_number 123
_symmetry_space_group_name_Hall '-P 4 2'
_cell_length_a 3.1893
_cell_length_b 3.1893
_cell_length_c 6.9274
_cell_angle_alpha 90.00
_cell_angle_beta 90.00
_cell_angle_gamma 90.00
loop_
_atom_site_label
_atom_site_fract_x
_atom_site_fract_y
_atom_site_fract_z
Ba1 0.0000 0.0000 0.0000
Co1 0.5000 0.5000 0.3454
Cu1 0.0000 0.0000 0.5000
```


Density functional theory data (meta-GGA SCAN) for a crystal of BaCoCu2 relaxed with PBEsol.

- Crystal system: tetragonal
- DOS(E_F): 0.586 states/eV/atom
- Relative energy among the computed polymorphs: 391.8 meV/atom
- Formation enthalpy at 0 K: 846 meV/atom
- Calculated total energy: -20.967 eV/atom

Geometry as CIF:
```
data_BaCoCu2
_chemical_formula_sum 'Ba2 Co2 Cu4'
_symmetry_space_group_name_H-M 'I 4/m m m'
_symmetry_Int_Tables_number 139
_symmetry_space_group_name_Hall '-I 4 2'
_cell_length_a 3.9459
_cell_length_b 3.9459
_cell_length_c 8.8758
_cell_angle_alpha 90.00
_cell_angle_beta 90.00
_cell_angle_gamma 90.00
loop_
_atom_site_label
_atom_site_fract_x
_atom_site_fract_y
_atom_site_fract_z
Ba1 0.0000 0.0000 0.0000
Co1 0.0000 0.0000 0.5000
Cu1 0.0000 0.5000 0.2500
```


Density functional theory data (meta-GGA SCAN) for a crystal of BaCoCu3 relaxed with PBEsol.

- Crystal system: cubic
- DOS(E_F): 0.870 states/eV/atom
- Relative energy among the computed polymorphs: 0.0 meV/atom
- Formation enthalpy at 0 K: 449 meV/atom
- Calculated total energy: -20.042 eV/atom

Geometry as CIF:
```
data_BaCoCu3
_chemical_formula_sum 'Ba1 Co1 Cu3'
_symmetry_space_group_name_H-M 'P m -3 m'
_symmetry_Int_Tables_number 221
_symmetry_space_group_name_Hall '-P 4 2 3'
_cell_length_a 4.5889
_cell_length_b 4.5889
_cell_length_c 4.5889
_cell_angle_alpha 90.00
_cell_angle_beta 90.00
_cell_angle_gamma 90.00
loop_
_atom_site_label
_atom_site_fract_x
_atom_site_fract_y
_atom_site_fract_z
Ba1 0.0000 0.0000 0.0000
Co1 0.5000 0.5000 0.5000
Cu1 0.0000 0.5000 0.5000
```


Density functional theory data (meta-GGA SCAN) for a crystal of BaCo2Cu relaxed with PBEsol.

- Crystal system: monoclinic
- DOS(E_F): 0.514 states/eV/atom
- Formation enthalpy at 0 K: 1011 meV/atom
- Calculated total energy: -21.329 eV/atom

Geometry as CIF:
```
data_BaCo2Cu
_chemical_formula_sum 'Ba2 Co4 Cu2'
_symmetry_space_group_name_H-M 'C 1 2/m 1'
_symmetry_Int_Tables_number 12
_cell_length_a 5.5161
_cell_length_b 9.0819
_cell_length_c 3.0728
_cell_angle_alpha 90.00
_cell_angle_beta 119.64
_cell_angle_gamma 90.00
loop_
_symmetry_equiv_pos_as_xyz
'x,y,z'
'-x,-y,-z'
'-x,y,-z'
'x,-y,z'
'x+1/2,y+1/2,z'
'-x+1/2,-y+1/2,-z'
'-x+1/2,y+1/2,-z'
'x+1/2,-y+1/2,z'
loop_
_atom_site_label
_atom_site_fract_x
_atom_site_fract_y
_atom_site_fract_z
Ba1 0.0000 0.0000 0.0000
Co1 0.2500 0.2500 0.5000
Cu1 0.0000 0.5000 0.0000
```


Density functional theory data (meta-GGA SCAN) for a crystal of BaCo2Cu relaxed with PBEsol.

- Crystal system: tetragonal
- DOS(E_F): 0.443 states/eV/atom
- Formation enthalpy at 0 K: 1055 meV/atom
- Calculated total energy: -21.285 eV/atom

Geometry as CIF:
```
data_BaCo2Cu
_chemical_formula_sum 'Ba1 Co2 Cu1'
_symmetry_space_group_name_H-M 'P 4/m m m'
_symmetry_Int_Tables_number 123
_symmetry_space_group_name_Hall '-P 4 2'
_cell_length_a 4.0892
_cell_length_b 4.0892
_cell_length_c 3.9487
_cell_angle_alpha 90.00
_cell_angle_beta 90.00
_cell_angle_gamma 90.00
loop_
_atom_site_label
_atom_site_fract_x
_atom_site_fract_y
_atom_site_fract_z
Ba1 0.0000 0.0000 0.0000
Co1 0.0000 0.5000 0.5000
Cu1 0.5000 0.5000 0.0000
```


Density functional theory data (meta-GGA SCAN) for a crystal of BaCoCu2 relaxed with PBEsol.

- Crystal system: orthorhombic
- DOS(E_F): 0.469 states/eV/atom
- Relative energy among the computed polymorphs: 0.0 meV/atom
- Formation enthalpy at 0 K: 454 meV/atom
- Calculated total energy: -21.359 eV/atom

Geometry as CIF:
```
data_BaCoCu2
_chemical_formula_sum 'Ba2 Co2 Cu4'
_symmetry_space_group_name_H-M 'I m m m'
_symmetry_Int_Tables_number 71
_symmetry_space_group_name_Hall '-I 2 2'
_cell_length_a 4.0601
_cell_length_b 5.6498
_cell_length_c 7.3846
_cell_angle_alpha 90.00
_cell_angle_beta 90.00
_cell_angle_gamma 90.00
loop_
_atom_site_label
_atom_site_fract_x
_atom_site_fract_y
_atom_site_fract_z
Ba1 0.0000 0.0000 0.0000
Co1 0.0000 0.0000 0.5000
Cu1 0.0000 0.5000 0.1657
```